(1)
This record from the Alexandria database describes a relaxed structure of LaPm7Pr4. The functional is PBE-GGA.

abc: 6.4301 7.4054 9.1942
angles: 89.93 76.48 89.99
Atoms (fractional coordinates):
La 0.0000 0.0000 0.0000
Pm 0.0000 0.5000 0.0000
Pm 0.2205 0.9998 0.3318
Pm 0.2788 0.2496 0.6684
Pm 0.4999 0.2496 0.9994
Pm 0.5001 0.7504 0.0006
Pm 0.7212 0.7504 0.3316
Pm 0.7795 0.0002 0.6682
Pr 0.2207 0.5000 0.3315
Pr 0.2798 0.7511 0.6673
Pr 0.7202 0.2489 0.3327
Pr 0.7793 0.5000 0.6685

Properties
density	6.70	g cm⁻³
E_form	0.01	eV/atom
ΔE to the lowest computed polymorph	0.0	meV per atom


(2)
This record from the Alexandria database describes a relaxed structure of Rb2LiNbIr. The functional is PBE-GGA.

abc: 4.8515 4.8515 5.5022
angles: 90.00 90.00 90.00
Atoms (fractional coordinates):
Rb 0.0000 0.5000 0.0000
Rb 0.5000 0.0000 0.0000
Li 0.0000 0.0000 0.0000
Nb 0.0000 0.0000 0.5000
Ir 0.5000 0.5000 0.5000

Properties
density	5.94	g cm⁻³
E_form	1.77	eV/atom


(3)
This record from the Alexandria database describes a relaxed structure of Sr2TaW. The functional is PBE-GGA.

abc: 5.1566 5.1566 5.1566
angles: 119.89 119.89 90.19
Atoms (fractional coordinates):
Sr 0.0000 0.0000 0.0000
Sr 0.7500 0.2500 0.5000
Ta 0.5000 0.5000 0.0000
W 0.2500 0.7500 0.5000

Properties
density	9.23	g cm⁻³
E_form	1.24	eV/atom
ΔE to the lowest computed polymorph	687.9	meV per atom


(4)
This record from the Alexandria database describes a relaxed structure of LaPrAuN. The functional is PBE-GGA.

abc: 4.7762 4.7762 8.7793
angles: 90.00 90.00 90.00
Atoms (fractional coordinates):
La 0.2500 0.7500 0.0000
La 0.7500 0.2500 0.0000
Pr 0.2500 0.2500 0.3486
Pr 0.7500 0.7500 0.6514
Au 0.2500 0.2500 0.6999
Au 0.7500 0.7500 0.3001
N 0.2500 0.2500 0.0909
N 0.7500 0.7500 0.9091

Properties
density	8.14	g cm⁻³
formation energy from raw total energies	-0.9615	eV/atom


(5)
This record from the Alexandria database describes a relaxed structure of FePCS2. The functional is PBE-GGA.

abc: 4.4158 4.4158 4.2881
angles: 90.00 90.00 90.00
Atoms (fractional coordinates):
Fe 0.0000 0.0000 0.0000
P 0.0000 0.0000 0.5000
C 0.5000 0.5000 0.5000
S 0.0000 0.5000 0.0000
S 0.5000 0.0000 0.0000

Properties
density	3.24	g cm⁻³
formation energy from raw total energies	1.6977	eV/atom
ΔE to the lowest computed polymorph	327.5	meV per atom


(6)
This record from the Alexandria database describes a relaxed structure of Ce2SmSi. The functional is PBE-GGA.

abc: 5.8832 5.8832 9.9060
angles: 90.00 90.00 140.78
Atoms (fractional coordinates):
Ce 0.1660 0.8340 0.5310
Ce 0.1660 0.8340 0.9690
Ce 0.8340 0.1660 0.0310
Ce 0.8340 0.1660 0.4690
Sm 0.4513 0.5487 0.7500
Sm 0.5487 0.4513 0.2500
Si 0.2589 0.7411 0.2500
Si 0.7411 0.2589 0.7500

Properties
density	7.03	g cm⁻³
formation energy from raw total energies	-0.3317	eV/atom
ΔE to the lowest computed polymorph	58.1	meV per atom


(7)
This record from the Alexandria database describes a relaxed structure of MgSn2Au. The functional is PBE-GGA.

abc: 10.5625 10.5625 10.5625
angles: 156.02 156.02 34.18
Atoms (fractional coordinates):
Mg 0.0000 0.0000 0.0000
Mg 0.7500 0.2500 0.5000
Sn 0.1336 0.6250 0.0086
Sn 0.3750 0.3836 0.5086
Sn 0.6164 0.1250 0.9914
Sn 0.8750 0.8664 0.4914
Au 0.2500 0.7500 0.5000
Au 0.5000 0.5000 0.0000

Properties
density	7.83	g cm⁻³
E_form	-0.11	eV/atom


(8)
This record from the Alexandria database describes a relaxed structure of LaTb2CdAu4. The functional is PBE-GGA.

abc: 9.0879 9.0879 9.0879
angles: 32.29 32.29 32.29
Atoms (fractional coordinates):
La 0.0000 0.0000 0.0000
Tb 0.2371 0.2371 0.2371
Tb 0.7629 0.7629 0.7629
Cd 0.5000 0.5000 0.5000
Au 0.1195 0.1195 0.1195
Au 0.3849 0.3849 0.3849
Au 0.6151 0.6151 0.6151
Au 0.8805 0.8805 0.8805

Properties
density	11.83	g cm⁻³
E_form	-0.73	eV/atom


Repeat the seventh record exactly.
This record from the Alexandria database describes a relaxed structure of MgSn2Au. The functional is PBE-GGA.

abc: 10.5625 10.5625 10.5625
angles: 156.02 156.02 34.18
Atoms (fractional coordinates):
Mg 0.0000 0.0000 0.0000
Mg 0.7500 0.2500 0.5000
Sn 0.1336 0.6250 0.0086
Sn 0.3750 0.3836 0.5086
Sn 0.6164 0.1250 0.9914
Sn 0.8750 0.8664 0.4914
Au 0.2500 0.7500 0.5000
Au 0.5000 0.5000 0.0000

Properties
density	7.83	g cm⁻³
E_form	-0.11	eV/atom


Question: Which value of density does entry 6 give?
Answer: 7.03 g cm⁻³


Copy entry 7 word for word.
This record from the Alexandria database describes a relaxed structure of MgSn2Au. The functional is PBE-GGA.

abc: 10.5625 10.5625 10.5625
angles: 156.02 156.02 34.18
Atoms (fractional coordinates):
Mg 0.0000 0.0000 0.0000
Mg 0.7500 0.2500 0.5000
Sn 0.1336 0.6250 0.0086
Sn 0.3750 0.3836 0.5086
Sn 0.6164 0.1250 0.9914
Sn 0.8750 0.8664 0.4914
Au 0.2500 0.7500 0.5000
Au 0.5000 0.5000 0.0000

Properties
density	7.83	g cm⁻³
E_form	-0.11	eV/atom


Question: Which of these has the lowest density?
Answer: FePCS2